A geometry-optimized BaGe3F structure, computed with GGA-PBE.

CIF file:
```
data_BaGe3F
_chemical_formula_sum 'Ba1 Ge3 F1'
_space_group_name_H-M_alt 'P 1'
_space_group_IT_number 1
_cell_length_a 6.019
_cell_length_b 6.019
_cell_length_c 6.019
_cell_angle_alpha 90.00
_cell_angle_beta 90.00
_cell_angle_gamma 90.00
loop_
_space_group_symop_operation_xyz
'x,y,z'
loop_
_atom_site_label
_atom_site_type_symbol
_atom_site_fract_x
_atom_site_fract_y
_atom_site_fract_z
_atom_site_occupancy
Ba1 Ba 0.000 0.000 0.000 1
F1 F 0.500 0.500 0.500 1
Ge1 Ge 0.500 0.000 0.000 1
Ge2 Ge 0.000 0.000 0.500 1
Ge3 Ge 0.000 0.500 0.000 1
```

Values from the calculation:
Excess energy over the best structure of this formula in the dataset in eV/atom: 1.454
ρ in g/cm³: 2.9
SG: Pm-3m, No. 221
Total DFT energy (no corrections) in eV per atom: -2.441
ΔE_f (raw) in eV/f.u.: 5.4